[1]
Material: Sc2SbOs
Method: DFT, PBE-GGA
State: relaxed

Structure (POSCAR):
```
Sc2SbOs
1.0
0.000 3.323 3.323
3.323 0.000 3.323
3.323 3.323 0.000
Sc Sb Os
2 1 1
Direct
0.000 0.000 0.000
0.250 0.250 0.250
0.500 0.500 0.500
0.750 0.750 0.750
```

Values from the calculation:
**VASP energy**: -29.13 eV per formula unit
**SG**: F-43m
**Total magnetic moment**: 0.002 μB/atom

---

[2]
Material: Tb2HoAl3AgGe2
Method: DFT, PBE-GGA
State: relaxed

Structure (POSCAR):
```
Tb2HoAl3AgGe2
1.0
4.279 0.000 0.000
0.000 6.113 3.533
0.000 -6.113 3.533
Tb Ho Al Ag Ge
2 1 3 1 2
Direct
0.000 0.206 0.794
0.000 0.794 0.206
0.000 0.620 0.620
0.500 0.207 0.447
0.500 0.447 0.207
0.500 0.967 0.967
0.000 0.209 0.209
0.500 0.541 0.872
0.500 0.872 0.541
```

Values from the calculation:
**VASP energy**: -42.71 eV per formula unit
**SG**: Amm2
**Total magnetic moment**: 0.000 μB/atom

---

[3]
Material: SmPaB
Method: DFT, PBE-GGA
State: relaxed

Structure (POSCAR):
```
SmPaB
1.0
0.000 3.165 3.165
3.165 0.000 3.165
3.165 3.165 0.000
Sm Pa B
1 1 1
Direct
0.000 0.000 0.000
0.500 0.500 0.500
0.750 0.750 0.750
```

Values from the calculation:
**SG**: F-43m
**Total magnetic moment**: 0.009 μB/atom
**Energy relative to the lowest polymorph listed for this composition**: 0.000 eV per atom

---

[4]
Material: ZrIn
Method: DFT, PBE-GGA
State: relaxed

Structure (POSCAR):
```
ZrIn
1.0
5.063 0.000 0.000
0.000 9.688 0.000
0.000 0.000 5.712
Zr In
6 6
Direct
0.000 0.057 0.000
0.000 0.263 0.449
0.000 0.737 0.949
0.000 0.943 0.500
0.500 0.230 0.801
0.500 0.770 0.301
0.000 0.396 0.939
0.000 0.604 0.439
0.500 0.091 0.306
0.500 0.423 0.298
0.500 0.577 0.798
0.500 0.909 0.806
```

Values from the calculation:
**VASP energy**: -11.46 eV per formula unit
**SG**: Pmc2_1
**Total magnetic moment**: 0.112 μB/atom